Record 1
A relaxed structure of LaIrN. Source: the Alexandria database, functional PBE-GGA.

Cell: 3.7740 3.7740 3.8563 Å, 90.00 90.00 90.00°
Last column: nearest neighbours and their distance in Å.
Space group P4/mmm (No. 123)
Unique sites:
La1 0.0000 0.0000 0.0000 (multiplicity 1)  4 N 2.67
Ir1 0.5000 0.5000 0.5000 (multiplicity 1)  2 N 1.93
N1 0.5000 0.5000 0.0000 (multiplicity 1)  2 Ir 1.93

## Properties
- ρ (g cm⁻³) = 10.43
- raw formation energy (eV/atom) = -0.882

=====

Record 2
A relaxed structure of SrTmBi2. Source: the Alexandria database, functional PBE-GGA.

Cell: 3.8514 3.8514 8.6026 Å, 90.00 90.00 90.00°
Last column: nearest neighbours and their distance in Å.
Space group P4/mmm (No. 123)
Unique sites:
Sr1 0.0000 0.0000 0.0000 (multiplicity 1)  8 Bi 3.60, 4 Sr 3.85
Tm1 0.0000 0.0000 0.5000 (multiplicity 1)  8 Bi 3.35
Bi1 0.5000 0.5000 0.2734 (multiplicity 2)  4 Tm 3.35, 4 Sr 3.60

## Properties
- E above lowest polymorph (meV per atom) = 91.0
- ρ (g cm⁻³) = 8.78
- E_form (eV per atom) = -0.640